No. 1
# Hf2Be2Pb (PBEsol, optimized geometry)
# - energy (eV/cell) = -67.38
# - formation enthalpy at 0 K (eV per atom) = -0.1375
data_Hf2Be2Pb
_cell_length_a 3.890
_cell_length_b 6.439
_cell_length_c 6.439
_cell_angle_alpha 90.00
_cell_angle_beta 90.00
_cell_angle_gamma 90.00
_symmetry_space_group_name_H-M 'P 1'
_symmetry_Int_Tables_number 1
_symmetry_space_group_name_Hall 'P 1'
loop_
_atom_site_label
_atom_site_type_symbol
_atom_site_fract_x
_atom_site_fract_y
_atom_site_fract_z
Be1 Be 0.000 0.887 0.613
Hf1 Hf 0.500 0.668 0.832
Hf2 Hf 0.500 0.832 0.332
Hf3 Hf 0.500 0.332 0.168
Be2 Be 0.000 0.613 0.113
Hf4 Hf 0.500 0.168 0.668
Be3 Be 0.000 0.387 0.887
Pb1 Pb 0.000 0.000 0.000
Be4 Be 0.000 0.113 0.387
Pb2 Pb 0.000 0.500 0.500



No. 2
# Fe2OsSe (PBEsol, optimized geometry)
# - energy (eV/cell) = -32.10
# - E_form (uncorrected) (eV per atom) = 0.473
data_Fe2OsSe
_cell_length_a 2.848
_cell_length_b 4.310
_cell_length_c 4.486
_cell_angle_alpha 93.33
_cell_angle_beta 108.51
_cell_angle_gamma 90.00
_symmetry_space_group_name_H-M 'P 1'
_symmetry_Int_Tables_number 1
_symmetry_space_group_name_Hall 'P 1'
loop_
_atom_site_label
_atom_site_type_symbol
_atom_site_fract_x
_atom_site_fract_y
_atom_site_fract_z
Se1 Se 0.000 0.500 0.000
Os1 Os 0.500 0.000 0.000
Fe1 Fe 0.768 0.771 0.535
Fe2 Fe 0.232 0.229 0.465